Entry 1:
The following is a DFT calculation (PBE-GGA) of a geometry-optimized Sc2IrPtC structure.

Lattice parameters (Å, degrees): 4.5319 4.5319 3.8698 90.00 90.00 90.00
Last column: nearest neighbours and their distance in Å.
Element x y z (fractional)
Sc 0.0000 0.5000 0.0000  2 C 2.27
Sc 0.5000 0.0000 0.0000  2 C 2.27
C 0.0000 0.0000 0.0000  2 Ir 1.93
Ir 0.0000 0.0000 0.5000  2 C 1.93
Pt 0.5000 0.5000 0.5000  8 Sc 2.98, 4 Ir 3.20

Computed properties:
DFT formation energy ... -0.735 eV per atom

=====

Entry 2:
The following is a DFT calculation (PBE-GGA) of a geometry-optimized NaCdCuSe2 structure.

Lattice parameters (Å, degrees): 5.0074 6.8826 7.3788 102.39 90.00 90.00
Last column: nearest neighbours and their distance in Å.
Element x y z (fractional)
Na 0.1986 0.5000 0.7500  6 Se 3.05-3.24
Na 0.8014 0.5000 0.2500  6 Se 3.05-3.24
Cd 0.4980 0.0000 0.2500  4 Se 2.76-2.78
Cd 0.5020 0.0000 0.7500  4 Se 2.76-2.78
Cu 0.0000 0.0000 0.0000  2 Se 2.27
Cu 0.0000 0.0000 0.5000  2 Se 2.27
Se 0.7139 0.7381 0.9503  1 Cu 2.27
Se 0.7139 0.2619 0.5497  1 Cu 2.27
Se 0.2861 0.7381 0.4503  1 Cu 2.27
Se 0.2861 0.2619 0.0497  1 Cu 2.27

Computed properties:
Formation energy from raw total energies ... -0.58 eV/atom
ΔE to the lowest computed polymorph ... 0 meV/atom